Here is a geometry-optimized IrPtAu2I structure from Alexandria. Energies are from PBE.

abc: 5.0847 5.0847 4.9793
angles: 90.00 90.00 90.00
Closest atoms and distances in Å follow each position.
Positions (direct):
Ir (0.0000, 0.0000, 0.0000)  2 I 2.49, 4 Au 2.54
Pt (0.5000, 0.5000, 0.5000)  8 Au 3.56, 4 I 3.60
Au (0.0000, 0.5000, 0.0000)  2 Ir 2.54
Au (0.5000, 0.0000, 0.0000)  2 Ir 2.54
I (0.0000, 0.0000, 0.5000)  2 Ir 2.49

The uncorrected energy comes out at -16.40 eV/cell. The formation energy from raw total energies comes out at 1.3208 eV/atom. For the total magnetization, the calculation gives 0.000 μB per cell.

***

Here is a geometry-optimized Rb2IrAuI6 structure from Alexandria. Energies are from PBE.

abc: 8.0948 8.0948 8.0948
angles: 119.97 119.97 90.05
Closest atoms and distances in Å follow each position.
Positions (direct):
Rb (0.2500, 0.7500, 0.5000)  12 I 4.05
Rb (0.7500, 0.2500, 0.5000)  12 I 4.05
Ir (0.0000, 0.0000, 0.0000)  6 I 2.73
Au (0.5000, 0.5000, 0.0000)  6 I 2.99
I (0.2390, 0.2390, 0.0000)  1 Ir 2.73, 1 Au 2.99
I (0.2388, 0.2388, 0.4776)  1 Ir 2.73, 1 Au 2.99
I (0.2388, 0.7612, 0.0000)  1 Ir 2.73, 1 Au 2.99
I (0.7612, 0.2388, 0.0000)  1 Ir 2.73, 1 Au 2.99
I (0.7610, 0.7610, 0.0000)  1 Ir 2.73, 1 Au 2.99
I (0.7612, 0.7612, 0.5224)  1 Ir 2.73, 1 Au 2.99

The uncorrected energy comes out at -28.62 eV/cell. The formation energy from raw total energies comes out at -0.5247 eV/atom. For the total magnetization, the calculation gives 0.000 μB per cell.

***

Here is a geometry-optimized Sb2IrAuI structure from Alexandria. Energies are from PBE.

abc: 5.1142 5.1142 5.6419
angles: 90.00 90.00 90.00
Closest atoms and distances in Å follow each position.
Positions (direct):
Sb (0.0000, 0.5000, 0.0000)  2 Ir 2.56
Sb (0.5000, 0.0000, 0.0000)  2 Ir 2.56
Ir (0.0000, 0.0000, 0.0000)  4 Sb 2.56, 2 I 2.82
Au (0.5000, 0.5000, 0.5000)  4 I 3.62, 8 Sb 3.81
I (0.0000, 0.0000, 0.5000)  2 Ir 2.82

The uncorrected energy comes out at -18.90 eV/cell. The energy above the most stable polymorph in this dataset comes out at 0 meV per atom. The formation energy from raw total energies comes out at 0.6057 eV/atom. For the total magnetization, the calculation gives 0.000 μB per cell.

***

Here is a geometry-optimized SbIrAuI2 structure from Alexandria. Energies are from PBE.

abc: 5.5799 5.5799 4.9749
angles: 90.00 90.00 90.00
Closest atoms and distances in Å follow each position.
Positions (direct):
Sb (0.0000, 0.0000, 0.0000)  2 Ir 2.49
Ir (0.0000, 0.0000, 0.5000)  2 Sb 2.49
Au (0.5000, 0.5000, 0.0000)  8 I 3.74, 4 Sb 3.95
I (0.0000, 0.5000, 0.5000)  2 Ir 2.79
I (0.5000, 0.0000, 0.5000)  2 Ir 2.79

The uncorrected energy comes out at -16.14 eV/cell. The energy above the most stable polymorph in this dataset comes out at 0 meV per atom. The formation energy from raw total energies comes out at 0.6437 eV/atom. For the total magnetization, the calculation gives 0.000 μB per cell.

***

Here is a geometry-optimized Sm8Ir3AuI4 structure from Alexandria. Energies are from PBE.

abc: 9.3814 9.3814 9.3814
angles: 53.40 53.40 53.40
Closest atoms and distances in Å follow each position.
Positions (direct):
Sm (0.2131, 0.7361, 0.7361)  2 Ir 2.81, 1 Au 2.95
Sm (0.2282, 0.2282, 0.2282)  3 Ir 2.85
Sm (0.2639, 0.2639, 0.7869)  2 Ir 2.81, 1 Au 2.95
Sm (0.2639, 0.7869, 0.2639)  2 Ir 2.81, 1 Au 2.95
Sm (0.7361, 0.2131, 0.7361)  2 Ir 2.81, 1 Au 2.95
Sm (0.7361, 0.7361, 0.2131)  2 Ir 2.81, 1 Au 2.95
Sm (0.7718, 0.7718, 0.7718)  3 Ir 2.85
Sm (0.7869, 0.2639, 0.2639)  2 Ir 2.81, 1 Au 2.95
Ir (0.0000, 0.0000, 0.5000)  6 Sm 2.81-2.85
Ir (0.0000, 0.5000, 0.0000)  6 Sm 2.81-2.85
Ir (0.5000, 0.0000, 0.0000)  6 Sm 2.81-2.85
Au (0.5000, 0.5000, 0.5000)  6 Sm 2.95
I (0.0000, 0.0000, 0.0000)  6 Sm 3.43
I (0.0000, 0.5000, 0.5000)  6 Sm 3.51-3.55
I (0.5000, 0.0000, 0.5000)  6 Sm 3.51-3.55
I (0.5000, 0.5000, 0.0000)  6 Sm 3.51-3.55

The uncorrected energy comes out at -89.08 eV/cell. The formation energy from raw total energies comes out at -0.9539 eV/atom. For the total magnetization, the calculation gives 0.000 μB per cell.

***

Here is a geometry-optimized TeIr2AuI structure from Alexandria. Energies are from PBE.

abc: 4.9884 4.9884 5.2192
angles: 90.00 90.00 90.00
Closest atoms and distances in Å follow each position.
Positions (direct):
Te (0.0000, 0.0000, 0.0000)  4 Ir 2.49, 2 Au 2.61
Ir (0.0000, 0.5000, 0.0000)  2 Te 2.49
Ir (0.5000, 0.0000, 0.0000)  2 Te 2.49
Au (0.0000, 0.0000, 0.5000)  2 Te 2.61
I (0.5000, 0.5000, 0.5000)  4 Au 3.53, 8 Ir 3.61

The uncorrected energy comes out at -18.77 eV/cell. The formation energy from raw total energies comes out at 1.3838 eV/atom. For the total magnetization, the calculation gives 0.874 μB per cell.

***

Here is a geometry-optimized K2AuI structure from Alexandria. Energies are from PBE.

abc: 8.8920 8.8920 8.8920
angles: 31.51 31.51 31.51
Closest atoms and distances in Å follow each position.
Positions (direct):
K (0.0000, 0.0000, 0.0000)  3 Au 3.43, 3 I 3.55
K (0.1743, 0.1743, 0.1743)  3 Au 3.44, 3 I 3.57
Au (0.5876, 0.5876, 0.5876)  6 K 3.43-3.44
I (0.4199, 0.4199, 0.4199)  6 K 3.55-3.57

The uncorrected energy comes out at -10.41 eV/cell. The energy above the most stable polymorph in this dataset comes out at 21 meV per atom. The formation energy from raw total energies comes out at -0.8476 eV/atom. For the total magnetization, the calculation gives 0.000 μB per cell.

***

Here is a geometry-optimized KAu2I structure from Alexandria. Energies are from PBE.

abc: 11.5035 11.5035 11.5035
angles: 153.36 153.36 38.04
Closest atoms and distances in Å follow each position.
Positions (direct):
K (0.3750, 0.6250, 0.7500)  4 I 3.75, 8 Au 4.02
K (0.6250, 0.3750, 0.2500)  4 I 3.75, 8 Au 4.02
Au (0.0000, 0.0000, 0.0000)  2 Au 2.65
Au (0.0000, 0.0000, 0.5000)  2 Au 2.65
Au (0.0000, 0.5000, 0.0000)  2 Au 2.65
Au (0.5000, 0.0000, 0.5000)  2 Au 2.65
I (0.1250, 0.8750, 0.2500)  4 Au 3.02
I (0.8750, 0.1250, 0.7500)  4 Au 3.02

The uncorrected energy comes out at -20.19 eV/cell. The energy above the most stable polymorph in this dataset comes out at 0 meV per atom. The formation energy from raw total energies comes out at -0.2227 eV/atom. For the total magnetization, the calculation gives 0.000 μB per cell.

***

Question: What is the formula in the fifth record?
Answer: Sm8Ir3AuI4

***

Question: Which formula does entry 8 have?
Answer: KAu2I